Record 1
Compound: Ba3ZnSb
Source: Alexandria
Functional: PBE
Structure: relaxed

The structure in CIF format:
```
data_Ba3ZnSb
_space_group_name_H-M_alt 'P m -3 m'
_space_group_IT_number 221
_space_group_name_Hall '-P 4 2 3'
_cell_length_a 6.139
_cell_length_b 6.139
_cell_length_c 6.139
_cell_angle_alpha 90.00
_cell_angle_beta 90.00
_cell_angle_gamma 90.00
loop_
_atom_site_label
_atom_site_type_symbol
_atom_site_fract_x
_atom_site_fract_y
_atom_site_fract_z
Ba1 Ba 0.000 0.000 0.500
Zn1 Zn 0.000 0.000 0.000
Sb1 Sb 0.500 0.500 0.500
```

Results
- raw formation energy (kcal/mol of atoms) = -4.76

***

Record 2
Compound: SrScMn
Source: Alexandria
Functional: PBE
Structure: relaxed

The structure in CIF format:
```
data_SrScMn
_space_group_name_H-M_alt 'F -4 3 m'
_space_group_IT_number 216
_space_group_name_Hall 'F -4 2 3'
_cell_length_a 7.307
_cell_length_b 7.307
_cell_length_c 7.307
_cell_angle_alpha 90.00
_cell_angle_beta 90.00
_cell_angle_gamma 90.00
loop_
_atom_site_label
_atom_site_type_symbol
_atom_site_fract_x
_atom_site_fract_y
_atom_site_fract_z
Sr1 Sr 0.000 0.000 0.000
Sc1 Sc 0.250 0.250 0.750
Mn1 Mn 0.250 0.250 0.250
```

Results
- E_form (kJ/mol of atoms) = 123.0

***

Record 3
Compound: CsRuS2
Source: Alexandria
Functional: PBE
Structure: relaxed

The structure in CIF format:
```
data_CsRuS2
_space_group_name_H-M_alt 'C 1 2/c 1'
_space_group_IT_number 15
_cell_length_a 7.601
_cell_length_b 12.297
_cell_length_c 5.515
_cell_angle_alpha 90.00
_cell_angle_beta 111.13
_cell_angle_gamma 90.00
loop_
_space_group_symop_operation_xyz
'x,y,z'
'-x,-y,-z'
'-x,y,-z+1/2'
'x,-y,z+1/2'
'x+1/2,y+1/2,z'
'-x+1/2,-y+1/2,-z'
'-x+1/2,y+1/2,-z+1/2'
'x+1/2,-y+1/2,z+1/2'
loop_
_atom_site_label
_atom_site_type_symbol
_atom_site_fract_x
_atom_site_fract_y
_atom_site_fract_z
Cs1 Cs 0.000 0.148 0.250
Ru1 Ru 0.000 0.500 0.250
S1 S 0.182 0.398 0.090
```

Results
- raw formation energy (kcal/mol of atoms) = -16.02